# 1
This record from the Alexandria database describes a relaxed structure of NbCrRh3. The functional is GGA-PBE.

abc: 4.4228 4.4228 4.4228
angles: 90.00 90.00 90.00
Element x y z (fractional)
Nb1 0.0000 0.0000 0.0000
Cr1 0.5000 0.5000 0.5000
Rh1 0.0000 0.5000 0.5000
Rh2 0.5000 0.0000 0.5000
Rh3 0.5000 0.5000 0.0000

Properties
**Energy above the most stable polymorph in this dataset**: 0.000 eV per formula unit

# 2
This record from the Alexandria database describes a relaxed structure of HoPaMn. The functional is GGA-PBE.

abc: 6.6204 6.1856 6.9176
angles: 90.00 100.15 90.00
Element x y z (fractional)
Ho1 0.1437 0.1696 0.3500
Ho2 0.1437 0.3304 0.8500
Ho3 0.8563 0.6696 0.1500
Ho4 0.8563 0.8304 0.6500
Pa1 0.3285 0.6828 0.5072
Pa2 0.3285 0.8172 0.0072
Pa3 0.6715 0.1828 0.9928
Pa4 0.6715 0.3172 0.4928
Mn1 0.4758 0.0448 0.7281
Mn2 0.4758 0.4552 0.2281
Mn3 0.5242 0.5448 0.7719
Mn4 0.5242 0.9552 0.2719

Properties
**Energy above the most stable polymorph in this dataset**: 0.000 eV per formula unit

# 3
This record from the Alexandria database describes a relaxed structure of BaHgTe2. The functional is GGA-PBE.

abc: 4.7156 4.7136 7.2846
angles: 90.00 90.43 90.00
Element x y z (fractional)
Ba1 0.0000 0.0000 0.0000
Hg1 0.0000 0.0000 0.5000
Te1 0.4970 0.5000 0.8063
Te2 0.5030 0.5000 0.1937

Properties
**Formation energy without anion corrections**: -0.8284 eV per atom

# 4
This record from the Alexandria database describes a relaxed structure of CsCaBe2Sn. The functional is GGA-PBE.

abc: 4.9741 4.9741 5.9611
angles: 90.00 90.00 90.00
Element x y z (fractional)
Cs1 0.0000 0.0000 0.0000
Ca1 0.5000 0.5000 0.0000
Be1 0.0000 0.5000 0.5000
Be2 0.5000 0.0000 0.5000
Sn1 0.5000 0.5000 0.5000

# 5
This record from the Alexandria database describes a relaxed structure of Hf2MgAu6. The functional is GGA-PBE.

abc: 8.0449 8.0449 5.0233
angles: 98.77 98.77 143.77
Element x y z (fractional)
Hf1 0.1631 0.8369 0.0000
Hf2 0.8369 0.1631 0.0000
Mg1 0.0000 0.0000 0.5000
Au1 0.1658 0.5003 0.6694
Au2 0.3271 0.3271 0.1711
Au3 0.5003 0.1658 0.6694
Au4 0.4997 0.8342 0.3306
Au5 0.6729 0.6729 0.8289
Au6 0.8342 0.4997 0.3306

# 6
This record from the Alexandria database describes a relaxed structure of NiHgTe2. The functional is GGA-PBE.

abc: 7.4190 7.4190 7.4190
angles: 129.79 129.79 73.74
Element x y z (fractional)
Ni1 0.0000 0.0000 0.0000
Ni2 0.7500 0.2500 0.5000
Hg1 0.2500 0.7500 0.5000
Hg2 0.5000 0.5000 0.0000
Te1 0.0638 0.6250 0.9388
Te2 0.3750 0.3138 0.4388
Te3 0.6862 0.1250 0.0612
Te4 0.8750 0.9362 0.5612

Properties
**Formation energy without anion corrections**: -0.0921 eV per atom

Number 1: uncorrected energy -7.504 eV per atom. Number 2: uncorrected energy -7.739 eV per atom. Number 3: uncorrected energy -2.955 eV per atom. Number 4: uncorrected energy -2.105 eV per atom. Number 5: uncorrected energy -5.111 eV per atom. Number 6: uncorrected energy -3.184 eV per atom.